Crystalline Sr2SiMoO6 at its relaxed geometry, computed with PBE with a Hubbard U.

The structure in POSCAR format:
```
Sr2SiMoO6
1.0
-2.736 2.777 3.852
2.736 -2.777 3.852
2.736 2.777 -3.852
Sr Si Mo O
2 1 1 6
direct
0.250 0.250 0.000 Sr
0.750 0.750 0.000 Sr
0.500 0.000 0.500 Si
0.000 0.500 0.500 Mo
0.264 0.764 0.500 O
0.269 0.235 0.504 O
0.269 0.765 0.034 O
0.731 0.235 0.966 O
0.731 0.765 0.496 O
0.736 0.236 0.500 O
```

## Properties
symmetry	Immm
raw total energy	-70.817	eV for the cell shown
volume	11.7	Å³/atom